(1)
Computed, not measured: crystalline H4PtSe at its relaxed geometry at the PBE-GGA level of DFT.

abc: 2.7520 4.8005 5.5133
angles: 69.96 86.30 85.91
Positions (direct):
H1 0.0307 0.1008 0.1716
H2 0.4692 0.2179 0.5341
H3 0.5308 0.7821 0.4659
H4 0.9693 0.8992 0.8284
Pt1 0.0000 0.0000 0.5000
Se1 0.0000 0.5000 0.0000

Properties
For the calculated volume, the calculation gives 11.4 Å³ per atom. The total energy is -0.134 Ha/atom.



(2)
Computed, not measured: crystalline HPtSe2 at its relaxed geometry at the PBE-GGA level of DFT.

abc: 7.1279 3.7312 5.3432
angles: 90.00 90.86 90.00
Positions (direct):
H1 0.0000 0.0000 0.0000
H2 0.5000 0.5000 0.0000
Pt1 0.0000 0.5000 0.5000
Pt2 0.5000 0.0000 0.5000
Se1 0.1523 0.0000 0.7419
Se2 0.3477 0.5000 0.2581
Se3 0.6523 0.5000 0.7419
Se4 0.8477 0.0000 0.2581

Properties
For the calculated volume, the calculation gives 17.8 Å³ per atom. For the relative energy among the computed polymorphs, the calculation gives 0.000 eV per atom.



(3)
Computed, not measured: crystalline H2Pt2Se at its relaxed geometry at the PBE-GGA level of DFT.

abc: 3.3828 3.3828 10.0088
angles: 90.00 90.00 90.00
Positions (direct):
H1 0.0000 0.5000 0.2500
H2 0.0000 0.5000 0.7500
H3 0.5000 0.0000 0.2500
H4 0.5000 0.0000 0.7500
Pt1 0.0000 0.0000 0.1531
Pt2 0.0000 0.0000 0.8469
Pt3 0.5000 0.5000 0.3469
Pt4 0.5000 0.5000 0.6531
Se1 0.0000 0.0000 0.5000
Se2 0.5000 0.5000 0.0000

Properties
For the calculated volume, the calculation gives 11.5 Å³ per atom. The total energy is -0.155 Ha/atom.